Record 1
Entry from Alexandria via LeMat-Bulk: crystalline TcAg3Br2Cl6 at its relaxed geometry (PBE).

Calculated values
Total magnetization: 0.17 μB per atom
ΔE_f (raw): -0.49 eV/atom
SG: C2/m

a = 8.0356 Å, b = 8.0356 Å, c = 5.9156 Å
α = 94.99°, β = 94.99°, γ = 55.64°
Fractional coordinates of all 12 atoms:
Tc: 0.0000 0.0000 0.0000
Ag: 0.0000 0.5000 0.0000
Ag: 0.5000 0.0000 0.0000
Ag: 0.5000 0.5000 0.5000
Br: 0.3234 0.3234 0.2749
Br: 0.6766 0.6766 0.7251
Cl: 0.1283 0.1283 0.7774
Cl: 0.1476 0.6985 0.7690
Cl: 0.3015 0.8524 0.2310
Cl: 0.6985 0.1476 0.7690
Cl: 0.8524 0.3015 0.2310
Cl: 0.8717 0.8717 0.2226

Record 2
Entry from Alexandria via LeMat-Bulk: crystalline Ag10Te4BrCl at its relaxed geometry (PBE).

Calculated values
Total magnetization: 0.00 μB per atom
ΔE_f (raw): -0.15 eV/atom
SG: P2_1/c

a = 13.9827 Å, b = 7.8261 Å, c = 19.8201 Å
α = 90.00°, β = 134.63°, γ = 90.00°
Fractional coordinates of all 64 atoms:
Ag: 0.0066 0.1227 0.0777
Ag: 0.0066 0.3773 0.5777
Ag: 0.0619 0.7396 0.2059
Ag: 0.0619 0.7604 0.7059
Ag: 0.1444 0.2179 0.2935
Ag: 0.1444 0.2821 0.7935
Ag: 0.1782 0.6251 0.0712
Ag: 0.1782 0.8749 0.5712
Ag: 0.1831 0.0600 0.9308
Ag: 0.1831 0.4400 0.4308
Ag: 0.2512 0.0140 0.1103
Ag: 0.2512 0.4860 0.6103
Ag: 0.3545 0.6332 0.4241
Ag: 0.3545 0.8668 0.9241
Ag: 0.3682 0.1447 0.6186
Ag: 0.3682 0.3553 0.1186
Ag: 0.4687 0.0136 0.1088
Ag: 0.4687 0.4864 0.6088
Ag: 0.4760 0.6232 0.0791
Ag: 0.4760 0.8768 0.5791
Ag: 0.5240 0.1232 0.4209
Ag: 0.5240 0.3768 0.9209
Ag: 0.5313 0.5136 0.3912
Ag: 0.5313 0.9864 0.8912
Ag: 0.6318 0.6447 0.8814
Ag: 0.6318 0.8553 0.3814
Ag: 0.6455 0.1332 0.0759
Ag: 0.6455 0.3668 0.5759
Ag: 0.7488 0.5140 0.3897
Ag: 0.7488 0.9860 0.8897
Ag: 0.8169 0.5600 0.5692
Ag: 0.8169 0.9400 0.0692
Ag: 0.8218 0.1251 0.4288
Ag: 0.8218 0.3749 0.9288
Ag: 0.8556 0.7179 0.2065
Ag: 0.8556 0.7821 0.7065
Ag: 0.9381 0.2396 0.2941
Ag: 0.9381 0.2604 0.7941
Ag: 0.9934 0.6227 0.4223
Ag: 0.9934 0.8773 0.9223
Te: 0.0781 0.2140 0.4890
Te: 0.0781 0.2860 0.9890
Te: 0.1238 0.7121 0.8735
Te: 0.1238 0.7879 0.3735
Te: 0.3969 0.2081 0.4877
Te: 0.3969 0.2919 0.9877
Te: 0.4386 0.7492 0.6895
Te: 0.4386 0.7508 0.1895
Te: 0.5614 0.2492 0.8105
Te: 0.5614 0.2508 0.3105
Te: 0.6031 0.7081 0.0123
Te: 0.6031 0.7919 0.5123
Te: 0.8762 0.2121 0.6265
Te: 0.8762 0.2879 0.1265
Te: 0.9219 0.7140 0.0110
Te: 0.9219 0.7860 0.5110
Br: 0.2453 0.0108 0.7495
Br: 0.2453 0.4892 0.2495
Br: 0.7547 0.5108 0.7505
Br: 0.7547 0.9892 0.2505
Cl: 0.2438 0.5057 0.7472
Cl: 0.2438 0.9943 0.2472
Cl: 0.7562 0.0057 0.7528
Cl: 0.7562 0.4943 0.2527

Record 3
Entry from Alexandria via LeMat-Bulk: crystalline Ag7Te2BrCl2 at its relaxed geometry (PBE).

Calculated values
Total magnetization: 0.00 μB per atom
ΔE_f (raw): -0.19 eV/atom
SG: Imm2

a = 13.2888 Å, b = 13.2888 Å, c = 13.2888 Å
α = 158.51°, β = 31.54°, γ = 157.19°
Fractional coordinates of all 12 atoms:
Ag: 0.0000 0.0000 0.0000
Ag: 0.0697 0.6421 0.4276
Ag: 0.2146 0.6421 0.5724
Ag: 0.2522 0.0296 0.2226
Ag: 0.4123 0.4818 0.9305
Ag: 0.5513 0.4818 0.0695
Ag: 0.8070 0.0296 0.7774
Te: 0.0904 0.9807 0.1097
Te: 0.8711 0.9807 0.8903
Br: 0.5706 0.0706 0.5000
Cl: 0.2955 0.5281 0.7675
Cl: 0.7606 0.5281 0.2325

Record 4
Entry from Alexandria via LeMat-Bulk: crystalline Ag3TeBr2Cl6 at its relaxed geometry (PBE).

Calculated values
Total magnetization: 0.00 μB per atom
ΔE_f (raw): -0.42 eV/atom
SG: C2/m

a = 7.9932 Å, b = 7.9932 Å, c = 6.1542 Å
α = 95.24°, β = 95.24°, γ = 58.62°
Fractional coordinates of all 12 atoms:
Ag: 0.0000 0.0000 0.0000
Ag: 0.0000 0.5000 0.5000
Ag: 0.5000 0.0000 0.5000
Te: 0.5000 0.5000 0.5000
Br: 0.1701 0.1701 0.2379
Br: 0.8299 0.8299 0.7621
Cl: 0.1803 0.6544 0.2566
Cl: 0.3456 0.8197 0.7434
Cl: 0.3555 0.3555 0.7321
Cl: 0.6445 0.6445 0.2679
Cl: 0.6544 0.1803 0.2566
Cl: 0.8197 0.3456 0.7434

Number 1: calculated total energy -3.273 eV per atom. Number 2: calculated total energy -2.936 eV per atom. Number 3: calculated total energy -2.824 eV per atom. Number 4: calculated total energy -2.599 eV per atom.